Here is a relaxed structure of SrBiMo2F from the Alexandria database. Energies are from PBE+U.

Unit cell a=5.256 b=4.828 c=5.256 alpha=90.00 beta=90.00 gamma=90.00
Fractional coordinates of all 5 atoms:
Mo 0.000 0.000 0.500
Sr 0.000 0.500 0.000
Bi 0.500 0.500 0.500
Mo 0.500 0.000 0.000
F 0.000 0.000 0.000

Summary:
Calculated total energy (eV/atom): -4.47
Total magnetization (μB/f.u.): 9.946
SG: P4/mmm (123)
DOS at the Fermi energy (states/eV per cell): 0.96